# CuSnBr4 (PBE, relaxed)
# Energy, eV per atom: -2.9044
# Formation energy from raw total energies, meV per atom: -439
data_CuSnBr4
_cell_length_a 6.917
_cell_length_b 6.983
_cell_length_c 10.336
_cell_angle_alpha 90.00
_cell_angle_beta 90.00
_cell_angle_gamma 90.00
_symmetry_space_group_name_H-M 'P 2 2 2'
_symmetry_Int_Tables_number 16
_symmetry_space_group_name_Hall 'P 2 2'
loop_
_atom_site_label
_atom_site_fract_x
_atom_site_fract_y
_atom_site_fract_z
_atom_site_occupancy
Cu1 0.000 0.000 0.000 1
Cu2 0.000 0.500 0.500 1
Sn1 0.000 0.000 0.500 1
Sn2 0.500 0.000 0.000 1
Br1 0.206 0.280 0.375 1
Br2 0.225 0.200 0.872 1

=====

# HgSe2BrN (PBE, relaxed)
# ΔE to the lowest computed polymorph, kJ/mol of formula units: 0
# Energy, eV per atom: -2.5016
# Formation energy from raw total energies, meV per atom: 952
data_HgSe2BrN
_cell_length_a 4.647
_cell_length_b 4.647
_cell_length_c 4.564
_cell_angle_alpha 90.00
_cell_angle_beta 90.00
_cell_angle_gamma 90.00
_symmetry_space_group_name_H-M 'P 4/m m m'
_symmetry_Int_Tables_number 123
_symmetry_space_group_name_Hall '-P 4 2'
loop_
_atom_site_label
_atom_site_fract_x
_atom_site_fract_y
_atom_site_fract_z
_atom_site_occupancy
Hg1 0.000 0.000 0.000 1
Se1 0.000 0.500 0.500 1
Br1 0.500 0.500 0.000 1
N1 0.500 0.500 0.500 1

=====

# Na3HfCu (PBE, relaxed)
# Formation enthalpy at 0 K, eV per atom: 1.0740
# ΔE to the lowest computed polymorph, kJ/mol of formula units: 0
# Energy, eV per atom: -2.5274
data_Na3HfCu
_cell_length_a 5.206
_cell_length_b 5.206
_cell_length_c 5.206
_cell_angle_alpha 90.00
_cell_angle_beta 90.00
_cell_angle_gamma 90.00
_symmetry_space_group_name_H-M 'P m -3 m'
_symmetry_Int_Tables_number 221
_symmetry_space_group_name_Hall '-P 4 2 3'
loop_
_atom_site_label
_atom_site_fract_x
_atom_site_fract_y
_atom_site_fract_z
_atom_site_occupancy
Na1 0.000 0.000 0.500 1
Hf1 0.500 0.500 0.500 1
Cu1 0.000 0.000 0.000 1

=====

# ErP (PBE, relaxed)
# Formation enthalpy at 0 K, eV per atom: -1.6127
# Energy, eV per atom: -6.5991
data_ErP
_cell_length_a 5.611
_cell_length_b 5.611
_cell_length_c 5.611
_cell_angle_alpha 90.00
_cell_angle_beta 90.00
_cell_angle_gamma 90.00
_symmetry_space_group_name_H-M 'F m -3 m'
_symmetry_Int_Tables_number 225
_symmetry_space_group_name_Hall '-F 4 2 3'
loop_
_atom_site_label
_atom_site_fract_x
_atom_site_fract_y
_atom_site_fract_z
_atom_site_occupancy
Er1 0.000 0.000 0.000 1
P1 0.000 0.000 0.500 1

=====

# Mn2MoRh (PBE, relaxed)
# Formation enthalpy at 0 K, eV per atom: 0.0916
# Energy, eV per atom: -9.0389
data_Mn2MoRh
_cell_length_a 6.038
_cell_length_b 6.038
_cell_length_c 6.038
_cell_angle_alpha 90.00
_cell_angle_beta 90.00
_cell_angle_gamma 90.00
_symmetry_space_group_name_H-M 'F -4 3 m'
_symmetry_Int_Tables_number 216
_symmetry_space_group_name_Hall 'F -4 2 3'
loop_
_atom_site_label
_atom_site_fract_x
_atom_site_fract_y
_atom_site_fract_z
_atom_site_occupancy
Mn1 0.000 0.000 0.000 1
Mn2 0.250 0.250 0.250 1
Mo1 0.000 0.000 0.500 1
Rh1 0.250 0.250 0.750 1

=====

# Zn2Cd14Sb9 (PBE, relaxed)
# Energy, eV per atom: -2.0637
# Formation energy from raw total energies, meV per atom: 35
data_Zn2Cd14Sb9
_cell_length_a 8.7945
_cell_length_b 8.7945
_cell_length_c 10.9806
_cell_angle_alpha 90.00
_cell_angle_beta 90.00
_cell_angle_gamma 120.00
_symmetry_space_group_name_H-M 'P -3'
_symmetry_Int_Tables_number 147
_symmetry_space_group_name_Hall '-P 3'
loop_
_atom_site_label
_atom_site_fract_x
_atom_site_fract_y
_atom_site_fract_z
_atom_site_occupancy
Zn1 0.3333 0.6667 0.2810 1
Cd1 0.0000 0.0000 0.2729 1
Cd2 0.0083 0.3292 0.6127 1
Cd3 0.0388 0.6823 0.9238 1
Sb1 0.0000 0.0000 0.0000 1
Sb2 0.0081 0.3514 0.3381 1
Sb3 0.3333 0.6667 0.0328 1

=====

# FeBi (PBE, relaxed)
# Formation enthalpy at 0 K, eV per atom: 0.2179
# Energy, eV per atom: -5.9539
data_FeBi
_cell_length_a 4.0222
_cell_length_b 4.0222
_cell_length_c 19.7630
_cell_angle_alpha 90.00
_cell_angle_beta 90.00
_cell_angle_gamma 120.00
_symmetry_space_group_name_H-M 'R -3 m'
_symmetry_Int_Tables_number 166
_symmetry_space_group_name_Hall '-R 3 2"'
loop_
_atom_site_label
_atom_site_fract_x
_atom_site_fract_y
_atom_site_fract_z
_atom_site_occupancy
Fe1 0.0000 0.0000 0.1662 1
Bi1 0.0000 0.0000 0.4123 1

=====

Question: Among the records above, which one has the highest energy?
Answer: Zn2Cd14Sb9

=====

Please write out number 6 again, unchanged.
# Zn2Cd14Sb9 (PBE, relaxed)
# Energy, eV per atom: -2.0637
# Formation energy from raw total energies, meV per atom: 35
data_Zn2Cd14Sb9
_cell_length_a 8.7945
_cell_length_b 8.7945
_cell_length_c 10.9806
_cell_angle_alpha 90.00
_cell_angle_beta 90.00
_cell_angle_gamma 120.00
_symmetry_space_group_name_H-M 'P -3'
_symmetry_Int_Tables_number 147
_symmetry_space_group_name_Hall '-P 3'
loop_
_atom_site_label
_atom_site_fract_x
_atom_site_fract_y
_atom_site_fract_z
_atom_site_occupancy
Zn1 0.3333 0.6667 0.2810 1
Cd1 0.0000 0.0000 0.2729 1
Cd2 0.0083 0.3292 0.6127 1
Cd3 0.0388 0.6823 0.9238 1
Sb1 0.0000 0.0000 0.0000 1
Sb2 0.0081 0.3514 0.3381 1
Sb3 0.3333 0.6667 0.0328 1

=====

Please write out number 2 again, unchanged.
# HgSe2BrN (PBE, relaxed)
# ΔE to the lowest computed polymorph, kJ/mol of formula units: 0
# Energy, eV per atom: -2.5016
# Formation energy from raw total energies, meV per atom: 952
data_HgSe2BrN
_cell_length_a 4.647
_cell_length_b 4.647
_cell_length_c 4.564
_cell_angle_alpha 90.00
_cell_angle_beta 90.00
_cell_angle_gamma 90.00
_symmetry_space_group_name_H-M 'P 4/m m m'
_symmetry_Int_Tables_number 123
_symmetry_space_group_name_Hall '-P 4 2'
loop_
_atom_site_label
_atom_site_fract_x
_atom_site_fract_y
_atom_site_fract_z
_atom_site_occupancy
Hg1 0.000 0.000 0.000 1
Se1 0.000 0.500 0.500 1
Br1 0.500 0.500 0.000 1
N1 0.500 0.500 0.500 1

=====

Question: What is the energy in the fifth record?
Answer: -9.0389 eV per atom